Density functional theory data (PBE) for an optimized crystal structure of LuZrBeIr.

Energy above the lowest structure with this stoichiometry ... 10.1 kJ per mole of atoms
Magnetization ... 0.00 μB/f.u.
SG ... F-43m (216)

Cell lengths 4.5683, 4.5683, 4.5683 Å; angles 60.00, 60.00, 60.00 degrees
Sites, in units of the cell vectors:
1 Lu 0.0000 0.0000 0.0000
2 Zr 0.2500 0.2500 0.2500
3 Be 0.7500 0.7500 0.7500
4 Ir 0.5000 0.5000 0.5000